# TlCoO3

TlCoO3 after structural relaxation (PBE with a Hubbard U, OQMD via LeMat-Bulk).

As for the energy: -0.19028 Ha/atom.

The space group is R-3 (No. 148, hexagonal axes) and the conventional cell measures 5.3317, 5.3317 and 14.4594 Å, with angles of 90.00, 90.00 and 120.00 degrees. The asymmetric unit holds Tl at (0.0000, 0.0000, 0.1286), Co at (0.0000, 0.0000, 0.3432) and O at (0.0172, 0.6267, 0.9259).